1.
Entry from OQMD: a geometry-optimized LiHfAuS3 structure (PBE-GGA).

Summary:
**Crystal system**: orthorhombic
**Total magnetization**: 0.0 μB/f.u.
**Calculated volume**: 517.4 Å³/cell
**Polymorph energy (0 for the lowest one)**: 0.0 meV per atom
**Energy**: -5.698 eV/atom

Structure (POSCAR):
```
LiHfAuS3
1.0
13.471 0.000 0.000
0.000 3.690 0.000
0.000 0.000 10.408
Hf S Au Li
4 12 4 4
direct
0.471 0.750 0.838 Hf
0.529 0.250 0.162 Hf
0.029 0.250 0.338 Hf
0.971 0.750 0.662 Hf
0.579 0.250 0.743 S
0.921 0.750 0.243 S
0.334 0.750 0.684 S
0.391 0.250 0.975 S
0.666 0.250 0.316 S
0.079 0.250 0.757 S
0.421 0.750 0.257 S
0.166 0.250 0.184 S
0.834 0.750 0.816 S
0.109 0.750 0.475 S
0.891 0.250 0.525 S
0.609 0.750 0.025 S
0.904 0.750 0.020 Au
0.596 0.250 0.520 Au
0.096 0.250 0.980 Au
0.404 0.750 0.480 Au
0.772 0.750 0.384 Li
0.228 0.250 0.616 Li
0.728 0.250 0.884 Li
0.272 0.750 0.116 Li
```

***

2.
Entry from OQMD: a geometry-optimized LiHfAuS3 structure (PBE-GGA).

Summary:
**Crystal system**: monoclinic
**Total magnetization**: 0.0 μB/f.u.
**Calculated volume**: 250.5 Å³/cell
**Polymorph energy (0 for the lowest one)**: 52.3 meV per atom
**Energy**: -5.646 eV/atom

Structure (POSCAR):
```
LiHfAuS3
1.0
8.176 0.000 0.000
0.000 3.637 0.000
-1.759 0.000 8.423
S Hf Au Li
6 2 2 2
direct
0.125 0.250 0.369 S
0.676 0.250 0.955 S
0.324 0.750 0.045 S
0.560 0.250 0.353 S
0.440 0.750 0.647 S
0.875 0.750 0.631 S
0.320 0.750 0.347 Hf
0.680 0.250 0.653 Hf
0.879 0.750 0.970 Au
0.121 0.250 0.030 Au
0.646 0.750 0.179 Li
0.354 0.250 0.821 Li
```

***

3.
Entry from OQMD: a geometry-optimized LiHfSnAu structure (PBE-GGA).

Summary:
**Crystal system**: cubic
**Total magnetization**: 0.0 μB/f.u.
**Calculated volume**: 77.8 Å³/cell
**Polymorph energy (0 for the lowest one)**: 0.0 meV per atom
**Energy**: -5.178 eV/atom

Structure (POSCAR):
```
LiHfSnAu
1.0
3.496 -2.514 2.101
-1.077 -3.327 3.275
0.561 -4.646 -1.029
Au Li Hf Sn
1 1 1 1
direct
0.000 0.000 0.000 Au
0.750 0.750 0.750 Li
0.250 0.250 0.250 Hf
0.500 0.500 0.500 Sn
```

***

4.
Entry from OQMD: a geometry-optimized LiHfSnAu structure (PBE-GGA).

Summary:
**Crystal system**: cubic
**Total magnetization**: 0.0 μB/f.u.
**Calculated volume**: 76.3 Å³/cell
**Polymorph energy (0 for the lowest one)**: 329.9 meV per atom
**Energy**: -4.848 eV/atom

Structure (POSCAR):
```
LiHfSnAu
1.0
0.000 3.367 3.367
3.367 0.000 3.367
3.367 3.367 0.000
Li Sn Au Hf
1 1 1 1
direct
0.750 0.750 0.750 Li
0.250 0.250 0.250 Sn
0.000 0.000 0.000 Au
0.500 0.500 0.500 Hf
```

***

5.
Entry from OQMD: a geometry-optimized LiHfSnAu structure (PBE-GGA).

Summary:
**Crystal system**: cubic
**Total magnetization**: 0.0 μB/f.u.
**Calculated volume**: 76.1 Å³/cell
**Polymorph energy (0 for the lowest one)**: 274.6 meV per atom
**Energy**: -4.904 eV/atom

Structure (POSCAR):
```
LiHfSnAu
1.0
0.000 3.364 3.364
3.364 0.000 3.364
3.364 3.364 0.000
Hf Sn Li Au
1 1 1 1
direct
0.000 0.000 0.000 Hf
0.500 0.500 0.500 Sn
0.750 0.750 0.750 Li
0.250 0.250 0.250 Au
```

***

6.
Entry from OQMD: a geometry-optimized LiHfTe3Au structure (PBE-GGA).

Summary:
**Crystal system**: monoclinic
**Total magnetization**: 0.0 μB/f.u.
**Calculated volume**: 313.2 Å³/cell
**Polymorph energy (0 for the lowest one)**: 0.0 meV per atom
**Energy**: -4.745 eV/atom

Structure (POSCAR):
```
LiHfTe3Au
1.0
8.033 0.000 0.000
0.000 4.065 0.000
-2.587 0.000 9.594
Te Au Hf Li
6 2 2 2
direct
0.071 0.250 0.361 Te
0.418 0.750 0.630 Te
0.695 0.250 0.978 Te
0.305 0.750 0.022 Te
0.582 0.250 0.370 Te
0.929 0.750 0.639 Te
0.899 0.750 0.905 Au
0.101 0.250 0.095 Au
0.692 0.250 0.687 Hf
0.308 0.750 0.313 Hf
0.734 0.750 0.210 Li
0.266 0.250 0.790 Li
```